Record 1
ZnOsAu2: relaxed, PBE.

Unit cell a=2.730 b=4.286 c=5.705 alpha=90.00 beta=103.82 gamma=90.00
Space group Pm (No. 6)
Inequivalent atoms, fractional coordinates:
Zn 0.000 0.000 0.000 x1
Os 0.404 0.500 0.814 x1
Au 0.134 0.500 0.278 x1
Au 0.763 0.000 0.534 x1

Results
The density of states at the Fermi level comes out at 2.44 states/eV/f.u. Its crystal system is monoclinic. The calculation puts the magnetization at 0.0 μB/cell. Its electronic total energy is -4.42 eV/atom.

=====

Record 2
Zn2OsAu: relaxed, PBE.

Unit cell a=2.824 b=4.766 c=9.201 alpha=90.00 beta=90.00 gamma=90.00
Space group Cmm2 (No. 35)
Inequivalent atoms, fractional coordinates:
Zn 0.000 0.000 0.000 x2
Zn 0.000 0.500 0.239 x2
Os 0.000 0.000 0.476 x2
Au 0.000 0.500 0.749 x2

Results
The density of states at the Fermi level comes out at 2.56 states/eV/f.u. Its crystal system is orthorhombic. The calculation puts the magnetization at 0.0 μB/cell. Its electronic total energy is -3.99 eV/atom.

=====

Record 3
ZnOs2Au: relaxed, PBE.

Unit cell a=2.873 b=4.672 c=9.121 alpha=90.00 beta=90.00 gamma=90.00
Space group Imm2 (No. 44)
Inequivalent atoms, fractional coordinates:
Zn 0.000 0.000 0.000 x2
Os 0.000 0.000 0.519 x2
Os 0.000 0.500 0.252 x2
Au 0.000 0.500 0.750 x2

Results
The density of states at the Fermi level comes out at 3.01 states/eV/f.u. Its crystal system is orthorhombic. The calculation puts the magnetization at 0.0 μB/cell. Its electronic total energy is -6.24 eV/atom.

=====

Record 4
ZnOsAu2: relaxed, PBE.

Unit cell a=9.682 b=2.762 c=4.976 alpha=90.00 beta=103.19 gamma=90.00
Space group C2/m (No. 12)
Inequivalent atoms, fractional coordinates:
Zn 0.000 0.000 0.000 x2
Os 0.000 0.500 0.500 x2
Au 0.246 0.500 0.250 x4

Results
The density of states at the Fermi level comes out at 2.80 states/eV/f.u. Its crystal system is monoclinic. The calculation puts the magnetization at 0.0 μB/cell. Its electronic total energy is -4.38 eV/atom.

=====

Record 5
ZnOs2Au: relaxed, PBE.

Unit cell a=2.741 b=4.665 c=4.822 alpha=90.00 beta=90.00 gamma=90.00
Space group Pmmm (No. 47)
Inequivalent atoms, fractional coordinates:
Zn 0.000 0.000 0.000 x1
Os 0.000 0.500 0.500 x1
Os 0.500 0.000 0.500 x1
Au 0.500 0.500 0.000 x1

Results
The density of states at the Fermi level comes out at 4.29 states/eV/f.u. Its crystal system is orthorhombic. The calculation puts the magnetization at 0.0 μB/cell. Its electronic total energy is -6.26 eV/atom.

=====

Record 6
ZnOsAu: relaxed, PBE.

Unit cell a=2.755 b=2.755 c=12.199 alpha=90.00 beta=90.00 gamma=90.00
Space group I4mm (No. 107)
Inequivalent atoms, fractional coordinates:
Zn 0.000 0.000 0.000 x2
Os 0.000 0.000 0.653 x2
Au 0.000 0.000 0.329 x2

Results
The density of states at the Fermi level comes out at 2.51 states/eV/f.u. The value obtained for the relative energy among the computed polymorphs is 87 meV per atom. Its crystal system is tetragonal. The calculation puts the magnetization at 0.0 μB/cell. Its electronic total energy is -4.90 eV/atom.

=====

Record 7
ZnOsAu2: relaxed, PBE.

Unit cell a=5.648 b=8.316 c=2.743 alpha=90.00 beta=90.00 gamma=90.00
Space group Cmmm (No. 65)
Inequivalent atoms, fractional coordinates:
Zn 0.000 0.000 0.000 x2
Os 0.000 0.500 0.000 x2
Au 0.250 0.250 0.500 x4

Results
The density of states at the Fermi level comes out at 2.12 states/eV/f.u. Its crystal system is orthorhombic. The calculation puts the magnetization at 0.0 μB/cell. Its electronic total energy is -4.45 eV/atom.

=====

Record 8
Zn2OsAu: relaxed, PBE.

Unit cell a=3.909 b=3.909 c=17.820 alpha=90.00 beta=90.00 gamma=90.00
Space group I-42d (No. 122)
Inequivalent atoms, fractional coordinates:
Zn 0.224 0.250 0.125 x8
Os 0.000 0.000 0.000 x4
Au 0.000 0.000 0.500 x4

Results
The density of states at the Fermi level comes out at 1.84 states/eV/f.u. Its crystal system is tetragonal. The calculation puts the magnetization at 2.0 μB/cell. Its electronic total energy is -3.75 eV/atom.

=====

Record 9
ZnOs2Au: relaxed, PBE.

Unit cell a=2.804 b=4.107 c=5.350 alpha=90.00 beta=90.00 gamma=90.00
Space group Pmmm (No. 47)
Inequivalent atoms, fractional coordinates:
Zn 0.000 0.000 0.000 x1
Os 0.500 0.500 0.224 x2
Au 0.000 0.000 0.500 x1

Results
The density of states at the Fermi level comes out at 3.73 states/eV/f.u. Its crystal system is orthorhombic. The calculation puts the magnetization at 0.0 μB/cell. Its electronic total energy is -6.16 eV/atom.

=====

Record 10
Zn2OsAu: relaxed, PBE.

Unit cell a=3.065 b=4.657 c=8.582 alpha=90.00 beta=90.00 gamma=90.00
Space group Immm (No. 71)
Inequivalent atoms, fractional coordinates:
Zn 0.000 0.000 0.247 x4
Os 0.000 0.500 0.500 x2
Au 0.000 0.500 0.000 x2

Results
The density of states at the Fermi level comes out at 2.74 states/eV/f.u. Its crystal system is orthorhombic. The calculation puts the magnetization at 0.0 μB/cell. Its electronic total energy is -4.01 eV/atom.

=====

Record 11
ZnOsAu2: relaxed, PBE.

Unit cell a=2.8319 b=2.8319 c=27.6985 alpha=90.00 beta=90.00 gamma=120.00
Space group R-3m (No. 166, hexagonal axes)
Inequivalent atoms, fractional coordinates:
Zn 0.0000 0.0000 0.0000 x3
Os 0.0000 0.0000 0.5000 x3
Au 0.0000 0.0000 0.2523 x6

Results
The density of states at the Fermi level comes out at 3.05 states/eV/f.u. Its crystal system is trigonal. The calculation puts the magnetization at 0.1 μB/cell. Its electronic total energy is -4.49 eV/atom.

=====

Record 12
Zn3OsAu: relaxed, PBE.

Unit cell a=4.778 b=4.778 c=4.778 alpha=90.00 beta=90.00 gamma=90.00
Space group Pm-3m (No. 221)
Inequivalent atoms, fractional coordinates:
Zn 0.000 0.000 0.500 x3
Os 0.000 0.000 0.000 x1
Au 0.500 0.500 0.500 x1

Results
The density of states at the Fermi level comes out at 3.50 states/eV/f.u. The value obtained for the relative energy among the computed polymorphs is 0 meV per atom. Its crystal system is cubic. The calculation puts the magnetization at 0.0 μB/cell. Its electronic total energy is -2.83 eV/atom.

=====

Record 13
Zn2OsAu: relaxed, PBE.

Unit cell a=4.284 b=2.723 c=10.328 alpha=90.00 beta=90.00 gamma=90.00
Space group Amm2 (No. 38)
Inequivalent atoms, fractional coordinates:
Zn 0.000 0.000 0.000 x2
Zn 0.500 0.000 0.146 x2
Os 0.500 0.000 0.411 x2
Au 0.000 0.000 0.747 x2

Results
The density of states at the Fermi level comes out at 2.09 states/eV/f.u. Its crystal system is orthorhombic. The calculation puts the magnetization at 0.0 μB/cell. Its electronic total energy is -4.08 eV/atom.

=====

Record 14
ZnOsAu2: relaxed, PBE.

Unit cell a=2.770 b=4.860 c=9.680 alpha=90.00 beta=90.00 gamma=90.00
Space group Immm (No. 71)
Inequivalent atoms, fractional coordinates:
Zn 0.000 0.000 0.000 x2
Os 0.000 0.000 0.500 x2
Au 0.000 0.500 0.256 x4

Results
The density of states at the Fermi level comes out at 2.07 states/eV/f.u. Its crystal system is orthorhombic. The calculation puts the magnetization at 0.0 μB/cell. Its electronic total energy is -4.35 eV/atom.

=====

Record 15
ZnOs2Au: relaxed, PBE.

Unit cell a=7.255 b=7.255 c=5.035 alpha=90.00 beta=90.00 gamma=90.00
Space group I-42d (No. 122)
Inequivalent atoms, fractional coordinates:
Zn 0.000 0.000 0.000 x4
Os 0.225 0.750 0.125 x8
Au 0.000 0.000 0.500 x4

Results
The density of states at the Fermi level comes out at 4.52 states/eV/f.u. Its crystal system is tetragonal. The calculation puts the magnetization at 0.0 μB/cell. Its electronic total energy is -5.68 eV/atom.